# K4In3CoO8

A relaxed K4In3CoO8 crystal (GGA+U, the Alexandria database).

Computed properties:
- total magnetic moment (μB per formula unit) = 1.9
- final energy (hartree per atom) = -0.1839

Cell and atoms, written as POSCAR:
```
K4In3CoO8
1.0
6.5019 0.0000 0.0000
0.0000 7.1908 0.3760
-3.2509 -3.3184 4.8112
K In Co O
4 3 1 8
Direct
0.5000 0.0000 0.0000
0.5000 0.0000 0.5000
0.0000 0.0000 0.0000
0.0000 0.0000 0.5000
0.5000 0.5000 0.0000
0.5000 0.5000 0.5000
0.0000 0.5000 0.5000
0.0000 0.5000 0.0000
0.2070 0.6726 0.9633
0.2430 0.6978 0.4861
0.2736 0.3121 0.5472
0.7564 0.6726 0.9633
0.2436 0.3274 0.0367
0.7264 0.6879 0.4528
0.7570 0.3022 0.5139
0.7930 0.3274 0.0367
```